A relaxed structure of Zn3Ga3CuNi2. Source: the Alexandria database, functional GGA-PBE.

Results
size of the total moment = 0.0 μB per cell
DFT total energy = -0.24219 Ry per atom
energy relative to the elements = -0.122 eV per atom
SG = P-62m

Cell: 2.8772 7.0554 7.0554 Å, 120.00 90.00 90.00°
Element x y z (fractional)
Zn 0.5000 0.0000 0.7092
Zn 0.5000 0.7092 0.0000
Zn 0.5000 0.2908 0.2908
Ga 0.0000 0.6209 0.6209
Ga 0.0000 0.3791 0.0000
Ga 0.0000 0.0000 0.3791
Cu 0.0000 0.0000 0.0000
Ni 0.5000 0.3333 0.6667
Ni 0.5000 0.6667 0.3333


A relaxed structure of Zn2Ga2CuNi4. Source: the Alexandria database, functional GGA-PBE.

Results
size of the total moment = 0.0 μB per cell
DFT total energy = -0.28261 Ry per atom
energy relative to the elements = 0.135 eV per atom
SG = I4/mmm

Cell: 5.5889 5.5889 5.5889 Å, 91.16 119.33 119.33°
Element x y z (fractional)
Ga 0.5000 0.7500 0.2500
Ga 0.5000 0.2500 0.7500
Ni 0.0000 0.7202 0.2798
Ni 0.5596 0.2798 0.2798
Ni 0.0000 0.2798 0.7202
Ni 0.4404 0.7202 0.7202
Zn 0.0000 0.7129 0.7129
Zn 0.0000 0.2871 0.2871
Cu 0.0000 0.0000 0.0000


A relaxed structure of NpGa6Cu6. Source: the Alexandria database, functional GGA-PBE.

Results
size of the total moment = 0.0 μB per cell
DFT total energy = -0.32036 Ry per atom
energy relative to the elements = -0.076 eV per atom
SG = Immm

Cell: 6.6472 6.6472 6.6472 Å, 134.77 99.78 97.23°
Element x y z (fractional)
Cu 0.0000 0.5000 0.0000
Cu 0.5000 0.0000 0.0000
Cu 0.2343 0.5000 0.7343
Cu 0.0000 0.0000 0.5000
Cu 0.5000 0.5000 0.5000
Cu 0.7657 0.5000 0.2657
Ga 0.1885 0.6885 0.5000
Ga 0.8115 0.3115 0.5000
Ga 0.3453 0.3453 0.0000
Ga 0.6545 0.0000 0.6545
Ga 0.6547 0.6547 0.0000
Ga 0.3455 0.0000 0.3455
Np 0.0000 0.0000 0.0000


A relaxed structure of NpGa12Cu4. Source: the Alexandria database, functional GGA-PBE.

Results
size of the total moment = 4.4 μB per cell
DFT total energy = -0.28024 Ry per atom
energy relative to the elements = 0.049 eV per atom
SG = Im-3

Cell: 7.4404 7.4404 7.4404 Å, 109.47 109.47 109.47°
Element x y z (fractional)
Ga 0.3455 0.1888 0.8433
Ga 0.1567 0.3455 0.5023
Ga 0.6545 0.8112 0.1567
Ga 0.8433 0.6545 0.4977
Ga 0.8112 0.1567 0.6545
Ga 0.1888 0.8433 0.3455
Ga 0.1567 0.6545 0.8112
Ga 0.8433 0.3455 0.1888
Ga 0.4977 0.8433 0.6545
Ga 0.6545 0.4977 0.8433
Ga 0.3455 0.5023 0.1567
Ga 0.5023 0.1567 0.3455
Cu 0.5000 0.5000 0.5000
Cu 0.0000 0.5000 0.0000
Cu 0.0000 0.0000 0.5000
Cu 0.5000 0.0000 0.0000
Np 0.0000 0.0000 0.0000


A relaxed structure of Np4Ga12Cu. Source: the Alexandria database, functional GGA-PBE.

Results
size of the total moment = 16.3 μB per cell
DFT total energy = -0.41352 Ry per atom
energy relative to the elements = -0.204 eV per atom
SG = Im-3m

Cell: 7.4680 7.4680 7.4680 Å, 109.47 109.47 109.47°
Element x y z (fractional)
Ga 0.2500 0.7500 0.5000
Ga 0.7500 0.5000 0.2500
Ga 0.7500 0.2500 0.5000
Ga 0.2907 0.2907 0.0000
Ga 0.0000 0.2907 0.2907
Ga 0.7093 0.7093 0.0000
Ga 0.2500 0.5000 0.7500
Ga 0.0000 0.7093 0.7093
Ga 0.7093 0.0000 0.7093
Ga 0.2907 0.0000 0.2907
Ga 0.5000 0.2500 0.7500
Ga 0.5000 0.7500 0.2500
Np 0.5000 0.5000 0.5000
Np 0.0000 0.5000 0.0000
Np 0.0000 0.0000 0.5000
Np 0.5000 0.0000 0.0000
Cu 0.0000 0.0000 0.0000


A relaxed structure of Np3Ga9Cu2. Source: the Alexandria database, functional GGA-PBE.

Results
size of the total moment = 13.0 μB per cell
DFT total energy = -0.39960 Ry per atom
energy relative to the elements = -0.133 eV per atom
SG = Immm

Cell: 4.2531 8.1320 8.1320 Å, 74.89 74.84 74.84°
Element x y z (fractional)
Ga 0.8670 0.8536 0.4124
Ga 0.1330 0.5876 0.1464
Ga 0.8670 0.4124 0.8536
Ga 0.1330 0.1464 0.5876
Ga 0.6568 0.7112 0.9752
Ga 0.3432 0.0248 0.2888
Ga 0.0000 0.5000 0.5000
Ga 0.3432 0.2888 0.0248
Ga 0.6568 0.9752 0.7112
Np 0.6937 0.3063 0.3063
Np 0.0000 0.0000 0.0000
Np 0.3063 0.6937 0.6937
Cu 0.5000 0.7028 0.2972
Cu 0.5000 0.2972 0.7028


A relaxed structure of Np3Ga3Cu2. Source: the Alexandria database, functional GGA-PBE.

Results
size of the total moment = 10.3 μB per cell
DFT total energy = -0.51714 Ry per atom
energy relative to the elements = -0.024 eV per atom
SG = Cmcm

Cell: 4.6200 5.3728 13.2395 Å, 90.00 90.00 115.46°
Element x y z (fractional)
Cu 0.2149 0.4298 0.3937
Cu 0.7851 0.5702 0.8937
Cu 0.2149 0.4298 0.1063
Cu 0.7851 0.5702 0.6063
Ga 0.6115 0.2230 0.0509
Ga 0.3885 0.7770 0.5509
Ga 0.5676 0.1353 0.7500
Ga 0.3885 0.7770 0.9491
Ga 0.6115 0.2230 0.4491
Ga 0.4324 0.8647 0.2500
Np 0.0893 0.1786 0.6134
Np 0.0893 0.1786 0.8866
Np 0.2572 0.5145 0.7500
Np 0.9107 0.8214 0.3866
Np 0.9107 0.8214 0.1134
Np 0.7428 0.4855 0.2500


A relaxed structure of Np4Ga16Cu3. Source: the Alexandria database, functional GGA-PBE.

Results
size of the total moment = 16.4 μB per cell
DFT total energy = -0.37270 Ry per atom
energy relative to the elements = -0.180 eV per atom
SG = P4/mmm

Cell: 6.1845 6.1845 11.0222 Å, 90.00 90.00 90.00°
Element x y z (fractional)
Ga 0.5000 0.5000 0.7997
Ga 0.7448 0.7448 0.3773
Ga 0.7448 0.2552 0.6227
Ga 0.7160 0.2840 0.0000
Ga 0.2552 0.2552 0.3773
Ga 0.0000 0.0000 0.7722
Ga 0.7448 0.7448 0.6227
Ga 0.7448 0.2552 0.3773
Ga 0.2552 0.7448 0.3773
Ga 0.2840 0.2840 0.0000
Ga 0.2840 0.7160 0.0000
Ga 0.2552 0.7448 0.6227
Ga 0.2552 0.2552 0.6227
Ga 0.0000 0.0000 0.2278
Ga 0.5000 0.5000 0.2003
Ga 0.7160 0.7160 0.0000
Np 0.5000 0.0000 0.8103
Np 0.0000 0.5000 0.8103
Np 0.0000 0.5000 0.1897
Np 0.5000 0.0000 0.1897
Cu 0.5000 0.0000 0.5000
Cu 0.0000 0.0000 0.0000
Cu 0.0000 0.5000 0.5000